Entry 1:
## Tm5SnBi5 (GGA-PBE)

Data for crystalline Tm5SnBi5 at its relaxed geometry.

It has space group C2/m (No. 12), with a = 13.959 Å, b = 6.158 Å, c = 8.690 Å, α = 90.00°, β = 108.51° and γ = 90.00°. Symmetry generates all atoms from Tm at (0.000, 0.000, 0.000), Tm at (0.167, 0.500, 0.330), Tm at (0.171, 0.500, 0.840), Sn at (0.000, 0.500, 0.000), Bi at (0.000, 0.500, 0.500), Bi at (0.154, 0.000, 0.809) and Bi at (0.160, 0.000, 0.342).

As for the energy relative to the elements: -497 meV per atom. Its spin magnetization is 0.000 μB/cell. The volume comes out at 32.2 A^3/atom.

Entry 2:
## Tm6Sn3Bi (GGA-PBE)

Data for crystalline Tm6Sn3Bi at its relaxed geometry.

It has space group Cmc2_1 (No. 36), with a = 10.678 Å, b = 14.950 Å, c = 7.546 Å, α = 90.00°, β = 90.00° and γ = 90.00°. Symmetry generates all atoms from Tm at (0.000, 0.016, 0.000), Tm at (0.000, 0.268, 0.882), Tm at (0.196, 0.452, 0.873), Tm at (0.199, 0.283, 0.502), Sn at (0.000, 0.427, 0.586), Sn at (0.170, 0.111, 0.716) and Bi at (0.000, 0.173, 0.260).

As for the energy relative to the elements: -458 meV per atom. Its spin magnetization is 0.001 μB/cell. The volume comes out at 30.1 A^3/atom.

Entry 3:
## Tm8SnBi5 (GGA-PBE)

Data for crystalline Tm8SnBi5 at its relaxed geometry.

It has space group I-4 (No. 82), with a = 9.256 Å, b = 9.256 Å, c = 9.299 Å, α = 90.00°, β = 90.00° and γ = 90.00°. Symmetry generates all atoms from Tm at (0.073, 0.327, 0.456), Tm at (0.074, 0.182, 0.802), Sn at (0.000, 0.500, 0.750), Bi at (0.000, 0.000, 0.500) and Bi at (0.122, 0.249, 0.129).

As for the energy relative to the elements: -649 meV per atom. Its spin magnetization is 0.004 μB/cell. The volume comes out at 28.5 A^3/atom.

Entry 4:
## Tm8Sn5Bi (GGA-PBE)

Data for crystalline Tm8Sn5Bi at its relaxed geometry.

It has space group I-4 (No. 82), with a = 9.190 Å, b = 9.190 Å, c = 9.183 Å, α = 90.00°, β = 90.00° and γ = 90.00°. Symmetry generates all atoms from Tm at (0.073, 0.173, 0.198), Tm at (0.073, 0.320, 0.559), Sn at (0.000, 0.000, 0.500), Sn at (0.127, 0.250, 0.878) and Bi at (0.000, 0.500, 0.250).

As for the energy relative to the elements: -684 meV per atom. Its spin magnetization is 0.000 μB/cell. The volume comes out at 27.7 A^3/atom.

Entry 5:
## Tm5Sn2Bi (GGA-PBE)

Data for crystalline Tm5Sn2Bi at its relaxed geometry.

It has space group Cmcm (No. 63), with a = 5.296 Å, b = 11.370 Å, c = 15.492 Å, α = 90.00°, β = 90.00° and γ = 90.00°. Symmetry generates all atoms from Tm at (0.000, 0.056, 0.250), Tm at (0.000, 0.119, 0.555), Tm at (0.000, 0.424, 0.592), Sn at (0.000, 0.273, 0.112) and Bi at (0.000, 0.233, 0.750).

As for the energy relative to the elements: -269 meV per atom. Its spin magnetization is 0.003 μB/cell. The volume comes out at 29.2 A^3/atom.

Entry 6:
## USn2Bi (GGA-PBE)

Data for crystalline USn2Bi at its relaxed geometry.

It has space group P4/mmm (No. 123), with a = 4.120 Å, b = 4.120 Å, c = 6.404 Å, α = 90.00°, β = 90.00° and γ = 90.00°. Symmetry generates all atoms from U at (0.000, 0.000, 0.000), Sn at (0.500, 0.500, 0.241) and Bi at (0.000, 0.000, 0.500).

As for the energy relative to the elements: 78 meV per atom. Its spin magnetization is 2.517 μB/cell. The volume comes out at 27.2 A^3/atom.

Entry 7:
## U2SnBi (GGA-PBE)

Data for crystalline U2SnBi at its relaxed geometry.

It has space group P4/mmm (No. 123), with a = 5.834 Å, b = 5.834 Å, c = 3.128 Å, α = 90.00°, β = 90.00° and γ = 90.00°. Symmetry generates all atoms from U at (0.000, 0.500, 0.000), Sn at (0.000, 0.000, 0.500) and Bi at (0.500, 0.500, 0.500).

As for the energy relative to the elements: 80 meV per atom. Its spin magnetization is 6.401 μB/cell. The volume comes out at 26.6 A^3/atom.

Entry 8:
## USn2Bi (GGA-PBE)

Data for crystalline USn2Bi at its relaxed geometry.

It has space group R-3m (No. 166, hexagonal axes), with a = 3.2702 Å, b = 3.2702 Å, c = 37.0460 Å, α = 90.00°, β = 90.00° and γ = 120.00°. Symmetry generates all atoms from U at (0.0000, 0.0000, 0.0000), Sn at (0.0000, 0.0000, 0.0868) and Bi at (0.0000, 0.0000, 0.5000).

As for the energy relative to the elements: 460 meV per atom. Its spin magnetization is 9.973 μB/cell. The volume comes out at 28.6 A^3/atom.

Entry 9:
## USn2Bi (GGA-PBE)

Data for crystalline USn2Bi at its relaxed geometry.

It has space group P4/mmm (No. 123), with a = 4.652 Å, b = 4.652 Å, c = 4.867 Å, α = 90.00°, β = 90.00° and γ = 90.00°. Symmetry generates all atoms from U at (0.000, 0.000, 0.000), Sn at (0.000, 0.500, 0.500) and Bi at (0.500, 0.500, 0.000).

As for the energy relative to the elements: -39 meV per atom. Its spin magnetization is 2.313 μB/cell. The volume comes out at 26.3 A^3/atom.

Entry 10:
## VSnBi2 (GGA-PBE)

Data for crystalline VSnBi2 at its relaxed geometry.

It has space group I-42d (No. 122), with a = 6.585 Å, b = 6.585 Å, c = 13.594 Å, α = 90.00°, β = 90.00° and γ = 90.00°. Symmetry generates all atoms from V at (0.000, 0.000, 0.000), Sn at (0.000, 0.000, 0.500) and Bi at (0.221, 0.250, 0.125).

As for the energy relative to the elements: 491 meV per atom. Its spin magnetization is 11.421 μB/cell. The volume comes out at 36.8 A^3/atom.

Entry 11:
## V2SnBi (GGA-PBE)

Data for crystalline V2SnBi at its relaxed geometry.

It has space group Fm-3m (No. 225), with a = 6.708 Å, b = 6.708 Å, c = 6.708 Å, α = 90.00°, β = 90.00° and γ = 90.00°. Symmetry generates all atoms from V at (0.250, 0.250, 0.250), Sn at (0.000, 0.000, 0.000) and Bi at (0.000, 0.000, 0.500).

As for the energy relative to the elements: 449 meV per atom. Its spin magnetization is 0.000 μB/cell. The volume comes out at 18.9 A^3/atom.

Entry 12:
## VSn2Bi (GGA-PBE)

Data for crystalline VSn2Bi at its relaxed geometry.

It has space group I-42d (No. 122), with a = 4.326 Å, b = 4.326 Å, c = 22.094 Å, α = 90.00°, β = 90.00° and γ = 90.00°. Symmetry generates all atoms from V at (0.000, 0.000, 0.000), Sn at (0.243, 0.250, 0.125) and Bi at (0.000, 0.000, 0.500).

As for the energy relative to the elements: 361 meV per atom. Its spin magnetization is 11.481 μB/cell. The volume comes out at 25.8 A^3/atom.

Entry 13:
## VSnBi2 (GGA-PBE)

Data for crystalline VSnBi2 at its relaxed geometry.

It has space group R-3m (No. 166, hexagonal axes), with a = 3.3609 Å, b = 3.3609 Å, c = 35.1130 Å, α = 90.00°, β = 90.00° and γ = 120.00°. Symmetry generates all atoms from V at (0.0000, 0.0000, 0.0000), Sn at (0.0000, 0.0000, 0.5000) and Bi at (0.0000, 0.0000, 0.0806).

As for the energy relative to the elements: 605 meV per atom. Its spin magnetization is 10.082 μB/cell. The volume comes out at 28.6 A^3/atom.

Entry 14:
## V3SnBi (GGA-PBE)

Data for crystalline V3SnBi at its relaxed geometry.

It has space group Pm-3m (No. 221), with a = 5.053 Å, b = 5.053 Å, c = 5.053 Å, α = 90.00°, β = 90.00° and γ = 90.00°. Symmetry generates all atoms from V at (0.000, 0.000, 0.500), Sn at (0.000, 0.000, 0.000) and Bi at (0.500, 0.500, 0.500).

As for the energy relative to the elements: 1165 meV per atom. Its spin magnetization is 8.147 μB/cell. The volume comes out at 25.8 A^3/atom.

Entry 15:
## V2SnBi (GGA-PBE)

Data for crystalline V2SnBi at its relaxed geometry.

It has space group I-42d (No. 122), with a = 7.574 Å, b = 7.574 Å, c = 6.295 Å, α = 90.00°, β = 90.00° and γ = 90.00°. Symmetry generates all atoms from V at (0.239, 0.250, 0.125), Sn at (0.000, 0.000, 0.000) and Bi at (0.000, 0.000, 0.500).

As for the energy relative to the elements: 709 meV per atom. Its spin magnetization is 17.805 μB/cell. The volume comes out at 22.6 A^3/atom.

Entry 16:
## VSnBi3 (GGA-PBE)

Data for crystalline VSnBi3 at its relaxed geometry.

It has space group Pm-3m (No. 221), with a = 5.339 Å, b = 5.339 Å, c = 5.339 Å, α = 90.00°, β = 90.00° and γ = 90.00°. Symmetry generates all atoms from V at (0.000, 0.000, 0.000), Sn at (0.500, 0.500, 0.500) and Bi at (0.000, 0.000, 0.500).

As for the energy relative to the elements: 414 meV per atom. Its spin magnetization is 1.237 μB/cell. The volume comes out at 30.4 A^3/atom.

Entry 17:
## VSn2Bi (GGA-PBE)

Data for crystalline VSn2Bi at its relaxed geometry.

It has space group R-3m (No. 166, hexagonal axes), with a = 3.3425 Å, b = 3.3425 Å, c = 31.4270 Å, α = 90.00°, β = 90.00° and γ = 120.00°. Symmetry generates all atoms from V at (0.0000, 0.0000, 0.0000), Sn at (0.0000, 0.0000, 0.3992) and Bi at (0.0000, 0.0000, 0.5000).

As for the energy relative to the elements: 199 meV per atom. Its spin magnetization is 6.270 μB/cell. The volume comes out at 25.3 A^3/atom.

Entry 18:
## V2Sn2Bi (GGA-PBE)

Data for crystalline V2Sn2Bi at its relaxed geometry.

It has space group P4/mbm (No. 127), with a = 7.124 Å, b = 7.124 Å, c = 4.163 Å, α = 90.00°, β = 90.00° and γ = 90.00°. Symmetry generates all atoms from V at (0.119, 0.381, 0.000), Sn at (0.161, 0.661, 0.500) and Bi at (0.000, 0.000, 0.000).

As for the energy relative to the elements: 278 meV per atom. Its spin magnetization is 0.000 μB/cell. The volume comes out at 21.1 A^3/atom.

Entry 19:
## VSn3Bi (GGA-PBE)

Data for crystalline VSn3Bi at its relaxed geometry.

It has space group Pm-3m (No. 221), with a = 5.238 Å, b = 5.238 Å, c = 5.238 Å, α = 90.00°, β = 90.00° and γ = 90.00°. Symmetry generates all atoms from V at (0.000, 0.000, 0.000), Sn at (0.000, 0.000, 0.500) and Bi at (0.500, 0.500, 0.500).

As for the energy relative to the elements: 342 meV per atom. Its spin magnetization is 1.657 μB/cell. The volume comes out at 28.7 A^3/atom.

Entry 20:
## SnBi3W (GGA-PBE)

Data for crystalline SnBi3W at its relaxed geometry.

It has space group Pm-3m (No. 221), with a = 5.436 Å, b = 5.436 Å, c = 5.436 Å, α = 90.00°, β = 90.00° and γ = 90.00°. Symmetry generates all atoms from Sn at (0.000, 0.000, 0.000), Bi at (0.000, 0.500, 0.500) and W at (0.500, 0.500, 0.500).

As for the energy relative to the elements: 794 meV per atom. Its spin magnetization is 0.801 μB/cell. The volume comes out at 32.1 A^3/atom.